(1)
The following is a DFT calculation (PBE) of an optimized crystal structure of SrP2SeO.

Output
As for the calculated density: 2.82 g/cm3. Its crystal system is tetragonal. For the volume, the calculation gives 28.79 Å³/atom. The calculation puts the total energy at -3.3074 eV per atom. The formation energy (no corrections) is 0.88 eV per atom. The density of states at the Fermi level is 1.039 states/eV per atom.

Cell lengths 5.809, 5.809, 4.266 Å; angles 90.00, 90.00, 90.00 degrees
Atoms (fractional coordinates):
Sr: 0.000 0.000 0.000
P: 0.000 0.500 0.000
P: 0.500 0.000 0.000
Se: 0.500 0.500 0.500
O: 0.000 0.000 0.500

---

(2)
The following is a DFT calculation (PBE) of an optimized crystal structure of HfSeN2F.

Output
As for the calculated density: 7.97 g/cm3. Its crystal system is tetragonal. For the volume, the calculation gives 12.68 Å³/atom. The calculation puts the total energy at -5.7978 eV per atom. The formation energy (no corrections) is 0.59 eV per atom. The density of states at the Fermi level is 0.468 states/eV per atom.

Cell lengths 4.031, 4.031, 3.902 Å; angles 90.00, 90.00, 90.00 degrees
Atoms (fractional coordinates):
Hf: 0.000 0.000 0.000
Se: 0.500 0.500 0.500
N: 0.000 0.500 0.500
N: 0.500 0.000 0.500
F: 0.500 0.500 0.000

---

(3)
The following is a DFT calculation (PBE) of an optimized crystal structure of ZnOsCl2.

Output
As for the calculated density: 6.10 g/cm3. Its crystal system is monoclinic. For the volume, the calculation gives 22.22 Å³/atom. The calculation puts the total energy at -4.0589 eV per atom. The formation energy (no corrections) is -0.01 eV per atom. The density of states at the Fermi level is 0.452 states/eV per atom.

Cell lengths 4.090, 3.049, 7.411 Å; angles 90.00, 105.87, 90.00 degrees
Atoms (fractional coordinates):
Zn: 0.000 0.000 0.000
Os: 0.538 0.500 0.078
Cl: 0.372 0.500 0.750
Cl: 0.663 0.000 0.329

---

(4)
The following is a DFT calculation (PBE) of an optimized crystal structure of Tb2TmMg8.

Output
As for the calculated density: 3.92 g/cm3. Its crystal system is orthorhombic. For the volume, the calculation gives 26.21 Å³/atom. The calculation puts the total energy at -2.3506 eV per atom. The density of states at the Fermi level is 0.750 states/eV per atom.

Cell lengths 8.461, 8.461, 8.461 Å; angles 143.67, 125.37, 67.38 degrees
Atoms (fractional coordinates):
Tb: 0.213 0.213 0.000
Tb: 0.787 0.787 0.000
Tm: 0.500 0.500 0.000
Mg: 0.059 0.367 0.692
Mg: 0.207 0.000 0.207
Mg: 0.325 0.633 0.692
Mg: 0.348 0.848 0.500
Mg: 0.652 0.152 0.500
Mg: 0.675 0.367 0.308
Mg: 0.793 0.000 0.793
Mg: 0.941 0.633 0.308

---

(5)
The following is a DFT calculation (PBE) of an optimized crystal structure of Tb3Nd2Al3.

Output
As for the calculated density: 6.64 g/cm3. Its crystal system is orthorhombic. For the volume, the calculation gives 26.46 Å³/atom. The calculation puts the total energy at -4.5854 eV per atom. The density of states at the Fermi level is 0.999 states/eV per atom.

Cell lengths 4.849, 4.862, 8.979 Å; angles 90.00, 90.00, 90.00 degrees
Atoms (fractional coordinates):
Tb: 0.000 0.000 0.000
Tb: 0.000 0.500 0.278
Tb: 0.000 0.500 0.722
Nd: 0.500 0.000 0.266
Nd: 0.500 0.000 0.734
Al: 0.000 0.000 0.500
Al: 0.500 0.500 0.000
Al: 0.500 0.500 0.500

---

(6)
The following is a DFT calculation (PBE) of an optimized crystal structure of TaRe2H2.

Output
As for the calculated density: 16.88 g/cm3. Its crystal system is tetragonal. For the volume, the calculation gives 10.93 Å³/atom. The calculation puts the total energy at -8.4604 eV per atom. The density of states at the Fermi level is 0.618 states/eV per atom.

Cell lengths 3.194, 3.194, 10.711 Å; angles 90.00, 90.00, 90.00 degrees
Atoms (fractional coordinates):
Ta: 0.000 0.000 0.000
Ta: 0.500 0.500 0.500
Re: 0.000 0.000 0.356
Re: 0.000 0.000 0.644
Re: 0.500 0.500 0.144
Re: 0.500 0.500 0.856
H: 0.000 0.500 0.250
H: 0.000 0.500 0.750
H: 0.500 0.000 0.250
H: 0.500 0.000 0.750